## NdScSi2Tc (PBE)

Data for an optimized crystal structure of NdScSi2Tc.

a = 4.060 Å, b = 4.060 Å, c = 11.598 Å
α = 90.00°, β = 90.00°, γ = 90.00°
Space group I-4m2 (No. 119)
Symmetry-distinct sites (fractional):
Nd1 0.000 0.000 0.000
Sc1 0.000 0.500 0.750
Si1 0.000 0.000 0.396
Tc1 0.000 0.500 0.250

## Properties
DOS at the Fermi energy: 6.22 states/eV/cell
Crystal system: tetragonal
VASP energy: -7.139 eV per atom
Formation energy without anion corrections: -0.677 eV/atom